Entry 1:
Density functional theory data (GGA-PBEsol) for a relaxed structure of CsMg2S2.

a = 7.835 Å, b = 7.835 Å, c = 7.835 Å
α = 147.95°, β = 147.95°, γ = 45.96°
Fractional positions:
Cs (0.000, 0.000, 0.000)
Mg (0.250, 0.750, 0.500)
Mg (0.750, 0.250, 0.500)
S (0.342, 0.342, 0.000)
S (0.658, 0.658, 0.000)

Properties
formation energy without anion corrections: -1.00 eV/atom


Entry 2:
Density functional theory data (GGA-PBEsol) for a relaxed structure of Cs3MgSb.

a = 6.782 Å, b = 6.782 Å, c = 6.782 Å
α = 90.00°, β = 90.00°, γ = 90.00°
Fractional positions:
Cs (0.000, 0.000, 0.500)
Cs (0.000, 0.500, 0.000)
Cs (0.500, 0.000, 0.000)
Mg (0.000, 0.000, 0.000)
Sb (0.500, 0.500, 0.500)

Properties
formation energy without anion corrections: 0.38 eV/atom


Entry 3:
Density functional theory data (GGA-PBEsol) for a relaxed structure of Cs2MgSb.

a = 13.627 Å, b = 13.627 Å, c = 13.627 Å
α = 159.31°, β = 159.31°, γ = 29.42°
Fractional positions:
Cs (0.124, 0.625, 0.999)
Cs (0.375, 0.374, 0.499)
Cs (0.626, 0.125, 0.001)
Cs (0.875, 0.876, 0.501)
Mg (0.000, 0.000, 0.000)
Mg (0.750, 0.250, 0.500)
Sb (0.250, 0.750, 0.500)
Sb (0.500, 0.500, 0.000)

Properties
formation energy without anion corrections: 0.17 eV/atom


Entry 4:
Density functional theory data (GGA-PBEsol) for a relaxed structure of CsMg2TeSe.

a = 6.253 Å, b = 6.253 Å, c = 5.478 Å
α = 90.00°, β = 90.00°, γ = 90.00°
Fractional positions:
Cs (0.000, 0.000, 0.000)
Mg (0.000, 0.500, 0.000)
Mg (0.500, 0.000, 0.000)
Te (0.500, 0.500, 0.500)
Se (0.000, 0.000, 0.500)

Properties
formation energy without anion corrections: 0.94 eV/atom


Entry 5:
Density functional theory data (GGA-PBEsol) for a relaxed structure of CsMgUSe3.

a = 8.200 Å, b = 8.200 Å, c = 11.039 Å
α = 90.00°, β = 90.00°, γ = 150.41°
Fractional positions:
Cs (0.240, 0.760, 0.750)
Cs (0.760, 0.240, 0.250)
Mg (0.040, 0.960, 0.250)
Mg (0.960, 0.040, 0.750)
U (0.500, 0.500, 0.000)
U (0.500, 0.500, 0.500)
Se (0.121, 0.879, 0.051)
Se (0.121, 0.879, 0.449)
Se (0.444, 0.556, 0.250)
Se (0.556, 0.444, 0.750)
Se (0.879, 0.121, 0.551)
Se (0.879, 0.121, 0.949)

Properties
formation energy without anion corrections: -1.08 eV/atom


Entry 6:
Density functional theory data (GGA-PBEsol) for a relaxed structure of CsMg2Sn2.

a = 7.010 Å, b = 7.010 Å, c = 7.010 Å
α = 137.70°, β = 137.70°, γ = 61.36°
Fractional positions:
Cs (0.000, 0.000, 0.000)
Mg (0.250, 0.750, 0.500)
Mg (0.750, 0.250, 0.500)
Sn (0.380, 0.380, 0.000)
Sn (0.620, 0.620, 0.000)

Properties
total energy: -2.800 eV/atom


Entry 7:
Density functional theory data (GGA-PBEsol) for a relaxed structure of CsYMg2Tc.

a = 5.472 Å, b = 5.472 Å, c = 4.996 Å
α = 90.00°, β = 90.00°, γ = 90.00°
Fractional positions:
Cs (0.000, 0.000, 0.000)
Y (0.500, 0.500, 0.500)
Mg (0.000, 0.500, 0.000)
Mg (0.500, 0.000, 0.000)
Tc (0.000, 0.000, 0.500)

Properties
total energy: -2.782 eV/atom


Entry 8:
Density functional theory data (GGA-PBEsol) for a relaxed structure of Cs2MgTe.

a = 6.302 Å, b = 6.302 Å, c = 6.302 Å
α = 60.00°, β = 60.00°, γ = 60.00°
Fractional positions:
Cs (0.250, 0.250, 0.250)
Cs (0.750, 0.750, 0.750)
Mg (0.000, 0.000, 0.000)
Te (0.500, 0.500, 0.500)

Properties
formation energy without anion corrections: -0.46 eV/atom


Entry 9:
Density functional theory data (GGA-PBEsol) for a relaxed structure of CsMgTl2.

a = 5.694 Å, b = 5.694 Å, c = 5.694 Å
α = 60.00°, β = 60.00°, γ = 60.00°
Fractional positions:
Cs (0.000, 0.000, 0.000)
Mg (0.500, 0.500, 0.500)
Tl (0.250, 0.250, 0.250)
Tl (0.750, 0.750, 0.750)

Properties
total energy: -1.879 eV/atom


Entry 10:
Density functional theory data (GGA-PBEsol) for a relaxed structure of CsMg2Tl2.

a = 7.163 Å, b = 7.163 Å, c = 7.163 Å
α = 137.98°, β = 137.98°, γ = 60.93°
Fractional positions:
Cs (0.000, 0.000, 0.000)
Mg (0.250, 0.750, 0.500)
Mg (0.750, 0.250, 0.500)
Tl (0.375, 0.375, 0.000)
Tl (0.625, 0.625, 0.000)

Properties
total energy: -1.951 eV/atom


Entry 11:
Density functional theory data (GGA-PBEsol) for a relaxed structure of CsMgTl3.

a = 6.366 Å, b = 6.366 Å, c = 6.366 Å
α = 90.00°, β = 90.00°, γ = 90.00°
Fractional positions:
Cs (0.000, 0.000, 0.000)
Mg (0.500, 0.500, 0.500)
Tl (0.000, 0.000, 0.500)
Tl (0.000, 0.500, 0.000)
Tl (0.500, 0.000, 0.000)

Properties
total energy: -1.135 eV/atom


Entry 12:
Density functional theory data (GGA-PBEsol) for a relaxed structure of CsMn2Mo.

a = 4.741 Å, b = 4.741 Å, c = 4.741 Å
α = 60.00°, β = 60.00°, γ = 60.00°
Fractional positions:
Cs (0.000, 0.000, 0.000)
Mn (0.250, 0.250, 0.250)
Mn (0.750, 0.750, 0.750)
Mo (0.500, 0.500, 0.500)

Properties
total energy: -6.218 eV/atom


Calculated density per entry: 3.02 2.90 4.33 3.01 5.73 4.51 4.09 3.92 7.20 6.02 4.96 7.46 g/cm3